[1]
An optimized crystal structure of Ba5Pb24. Source: the Alexandria database, functional PBEsol.

a = 10.652 Å, b = 10.652 Å, c = 10.652 Å
α = 109.47°, β = 109.47°, γ = 109.47°
Sites, in units of the cell vectors:
Ba 0.000 0.000 0.000
Ba 0.000 0.000 0.373
Ba 0.000 0.373 0.000
Ba 0.373 0.000 0.000
Ba 0.627 0.627 0.627
Pb 0.000 0.327 0.605
Pb 0.000 0.605 0.327
Pb 0.000 0.620 0.808
Pb 0.000 0.808 0.620
Pb 0.188 0.380 0.380
Pb 0.192 0.192 0.812
Pb 0.192 0.812 0.192
Pb 0.278 0.673 0.673
Pb 0.327 0.000 0.605
Pb 0.327 0.605 0.000
Pb 0.380 0.188 0.380
Pb 0.380 0.380 0.188
Pb 0.395 0.395 0.722
Pb 0.395 0.722 0.395
Pb 0.605 0.000 0.327
Pb 0.605 0.327 0.000
Pb 0.620 0.000 0.808
Pb 0.620 0.808 0.000
Pb 0.673 0.278 0.673
Pb 0.673 0.673 0.278
Pb 0.722 0.395 0.395
Pb 0.808 0.000 0.620
Pb 0.808 0.620 0.000
Pb 0.812 0.192 0.192

[2]
An optimized crystal structure of Ti3NiRu. Source: the Alexandria database, functional PBEsol.

a = 4.571 Å, b = 4.571 Å, c = 4.571 Å
α = 90.00°, β = 90.00°, γ = 90.00°
Sites, in units of the cell vectors:
Ti 0.000 0.000 0.500
Ti 0.000 0.500 0.000
Ti 0.500 0.000 0.000
Ni 0.500 0.500 0.500
Ru 0.000 0.000 0.000

[3]
An optimized crystal structure of MoAsHBr2. Source: the Alexandria database, functional PBEsol.

a = 4.860 Å, b = 4.860 Å, c = 3.436 Å
α = 90.00°, β = 90.00°, γ = 90.00°
Sites, in units of the cell vectors:
Mo 0.000 0.000 0.000
As 0.500 0.500 0.000
H 0.500 0.500 0.500
Br 0.000 0.500 0.500
Br 0.500 0.000 0.500

no.,total magnetization (μB per formula unit),total energy (eV/atom)
1,0.000,-3.90
2,0.169,-7.52
3,2.037,-3.91